This record from Alexandria via LeMat-Bulk describes HfAl2Pd7 after structural relaxation. The functional is PBE.

Unit cell a=10.340 b=10.340 c=10.340 alpha=157.36 beta=157.36 gamma=32.24
Fractional coordinates of all 10 atoms:
Hf (0.000, 0.000, 0.000)
Al (0.325, 0.325, 0.000)
Al (0.675, 0.675, 0.000)
Pd (0.099, 0.599, 0.500)
Pd (0.250, 0.750, 0.500)
Pd (0.401, 0.901, 0.500)
Pd (0.500, 0.500, 0.000)
Pd (0.599, 0.099, 0.500)
Pd (0.750, 0.250, 0.500)
Pd (0.901, 0.401, 0.500)

Calculated values
DFT formation energy: -0.750 eV/atom
Energy: -6.128 eV/atom
DOS at the Fermi energy: 3.391 states/eV/cell
Total magnetic moment: 0.00 μB per cell